# RbScCo

RbScCo after structural relaxation (PBE, OQMD via LeMat-Bulk).

Unit cell a=4.773 b=4.773 c=4.773 alpha=60.00 beta=60.00 gamma=60.00
Atoms (fractional coordinates):
Rb (0.000, 0.000, 0.000)
Sc (0.250, 0.250, 0.250)
Co (0.750, 0.750, 0.750)

- Theoretical density: 4.09 Mg/m³
- Total energy: -0.21587 Ry/atom